1.
Here is crystalline Na2LaPrSn2 at its relaxed geometry from OQMD via LeMat-Bulk. Energies are from PBE-GGA.

Geometry as POSCAR:
```
Na2LaPrSn2
1.0
5.5668 0.0000 0.0000
-2.7834 4.8210 0.0000
0.0000 0.0000 6.6490
Sn La Pr Na
2 1 1 2
Direct
0.3333 0.6667 0.9964
0.0000 0.0000 0.4964
0.3333 0.6667 0.4962
0.0000 0.0000 0.9962
0.6667 0.3333 0.2414
0.6667 0.3333 0.7418
```

Computed properties:
Calculated total energy (eV per atom): -3.93

2.
Here is crystalline LaPrNd at its relaxed geometry from OQMD via LeMat-Bulk. Energies are from PBE-GGA.

Geometry as POSCAR:
```
LaPrNd
1.0
0.0000 3.9524 3.9524
3.9524 0.0000 3.9524
3.9524 3.9524 0.0000
Nd La Pr
1 1 1
Direct
0.7500 0.7500 0.7500
0.2500 0.2500 0.2500
0.0000 0.0000 0.0000
```

Computed properties:
Excess energy over the best structure of this formula in the dataset (eV/atom): 0.0000

3.
Here is crystalline TmInCoSe3 at its relaxed geometry from OQMD via LeMat-Bulk. Energies are from PBE-GGA.

Geometry as POSCAR:
```
TmInCoSe3
1.0
7.2246 -1.9604 0.0000
7.2246 1.9604 0.0000
0.0000 0.0000 10.4686
In Se Tm Co
2 6 2 2
Direct
0.7550 0.7550 0.2500
0.2450 0.2450 0.7500
0.9245 0.9245 0.7500
0.6292 0.6292 0.5737
0.6292 0.6292 0.9263
0.3708 0.3708 0.0737
0.0755 0.0755 0.2500
0.3708 0.3708 0.4263
0.0000 0.0000 0.5000
0.0000 0.0000 0.0000
0.5229 0.5229 0.7500
0.4771 0.4771 0.2500
```

Computed properties:
Excess energy over the best structure of this formula in the dataset (eV/atom): 0.0000

4.
Here is crystalline Ba8USi2S14 at its relaxed geometry from OQMD via LeMat-Bulk. Energies are from PBE-GGA.

Geometry as POSCAR:
```
Ba8USi2S14
1.0
11.9408 -3.5870 0.0000
11.9408 3.5870 0.0000
-3.2824 0.0000 8.4119
S Si Ba U
14 2 8 1
Direct
0.0323 0.5434 0.8236
0.9200 0.9200 0.9621
0.1742 0.1742 0.4528
0.4553 0.4553 0.7434
0.0800 0.0800 0.0379
0.5447 0.5447 0.2566
0.9678 0.4566 0.1764
0.1717 0.6620 0.3459
0.3380 0.8283 0.6541
0.5434 0.0323 0.8236
0.4566 0.9678 0.1764
0.8283 0.3380 0.6541
0.6620 0.1717 0.3459
0.8258 0.8258 0.5472
0.8324 0.8324 0.7866
0.1676 0.1676 0.2134
0.0293 0.0293 0.3160
0.8155 0.8155 0.1530
0.5915 0.5915 0.9725
0.6769 0.6769 0.5041
0.4085 0.4085 0.0275
0.9706 0.9706 0.6840
0.3231 0.3231 0.4959
0.1845 0.1845 0.8470
0.5000 0.5000 0.5000
```

Computed properties:
Calculated total energy (eV per atom): -5.55

5.
Here is crystalline CuRe3Bi5 at its relaxed geometry from OQMD via LeMat-Bulk. Energies are from PBE-GGA.

Geometry as POSCAR:
```
CuRe3Bi5
1.0
5.6144 0.0000 0.0000
-2.8072 4.8622 0.0000
0.0000 0.0000 8.5158
Bi Re Cu
5 3 1
Direct
0.3333 0.6667 0.7898
0.6667 0.3333 0.7898
0.3333 0.6667 0.2102
0.6667 0.3333 0.2102
0.0000 0.0000 0.5000
0.0000 0.5000 0.5000
0.5000 0.5000 0.5000
0.5000 0.0000 0.5000
0.0000 0.0000 0.0000
```

Computed properties:
Calculated total energy (eV per atom): -6.05

6.
Here is crystalline Zr4Si3Ge at its relaxed geometry from OQMD via LeMat-Bulk. Energies are from PBE-GGA.

Geometry as POSCAR:
```
Zr4Si3Ge
1.0
-3.3351 4.1025 0.8421
-3.0097 -2.3381 -0.5293
-0.0635 -1.4758 6.8798
Zr Si Ge
4 3 1
Direct
0.3733 0.0000 0.3256
0.1306 0.0000 0.8208
0.6248 0.5000 0.6708
0.8737 0.5000 0.1815
0.8625 0.0000 0.4584
0.1371 0.5000 0.5420
0.3523 0.5000 0.0453
0.6457 0.0000 0.9556
```

Computed properties:
Calculated total energy (eV per atom): -7.78

7.
Here is crystalline ErAgAs at its relaxed geometry from OQMD via LeMat-Bulk. Energies are from PBE-GGA.

Geometry as POSCAR:
```
ErAgAs
1.0
0.0000 3.2580 3.2580
3.2580 0.0000 3.2580
3.2580 3.2580 0.0000
Er As Ag
1 1 1
Direct
0.7500 0.7500 0.7500
0.2500 0.2500 0.2500
0.0000 0.0000 0.0000
```

Computed properties:
Calculated total energy (eV per atom): -4.41

8.
Here is crystalline Cs4TePt at its relaxed geometry from OQMD via LeMat-Bulk. Energies are from PBE-GGA.

Geometry as POSCAR:
```
Cs4TePt
1.0
-4.1542 1.8115 -4.0021
-3.0600 -5.1452 0.8474
-4.4843 3.7101 6.3340
Cs Pt Te
4 1 1
Direct
0.0000 0.5000 0.7674
0.5000 0.0000 0.7674
0.0000 0.5000 0.2326
0.5000 0.0000 0.2326
0.0000 0.0000 0.0000
0.5000 0.5000 0.5000
```

Computed properties:
Calculated total energy (eV per atom): -2.63

9.
Here is crystalline YZn2Cu2 at its relaxed geometry from OQMD via LeMat-Bulk. Energies are from PBE-GGA.

Geometry as POSCAR:
```
YZn2Cu2
1.0
-3.1332 1.1759 -2.1034
1.0874 -2.3890 -2.9554
-1.8978 -3.3610 4.6620
Zn Cu Y
2 2 1
Direct
0.2500 0.7500 0.5000
0.7500 0.2500 0.5000
0.3894 0.3894 0.7788
0.6106 0.6106 0.2212
0.0000 0.0000 0.0000
```

Computed properties:
Excess energy over the best structure of this formula in the dataset (eV/atom): 0.0000

10.
Here is crystalline MgZnGe2 at its relaxed geometry from OQMD via LeMat-Bulk. Energies are from PBE-GGA.

Geometry as POSCAR:
```
MgZnGe2
1.0
0.0000 3.3459 3.3459
3.3459 0.0000 3.3459
3.3459 3.3459 0.0000
Mg Zn Ge
1 1 2
Direct
0.5000 0.5000 0.5000
0.7500 0.7500 0.7500
0.2500 0.2500 0.2500
0.0000 0.0000 0.0000
```

Computed properties:
Calculated total energy (eV per atom): -2.89

11.
Here is crystalline HfZrH4 at its relaxed geometry from OQMD via LeMat-Bulk. Energies are from PBE-GGA.

Geometry as POSCAR:
```
HfZrH4
1.0
-0.8183 -0.4162 3.3636
3.3892 -0.1178 0.8099
0.0211 4.3105 0.5386
Hf Zr H
1 1 4
Direct
0.0000 0.0000 0.5000
0.5000 0.5000 0.0000
0.5000 0.0000 0.7447
0.0000 0.5000 0.7447
0.0000 0.5000 0.2553
0.5000 0.0000 0.2553
```

Computed properties:
Calculated total energy (eV per atom): -5.86

12.
Here is crystalline YAgF3 at its relaxed geometry from OQMD via LeMat-Bulk. Energies are from PBE-GGA.

Geometry as POSCAR:
```
YAgF3
1.0
3.5816 0.0000 0.0000
0.0000 3.5816 0.0000
0.0000 0.0000 5.8514
Ag Y F
1 1 3
Direct
0.0000 0.0000 0.4343
0.5000 0.5000 0.9524
0.5000 0.0000 0.7379
0.0000 0.5000 0.7379
0.0000 0.0000 0.0376
```

Computed properties:
Excess energy over the best structure of this formula in the dataset (eV/atom): 0.2419

13.
Here is crystalline NaPPdO4 at its relaxed geometry from OQMD via LeMat-Bulk. Energies are from PBE-GGA.

Geometry as POSCAR:
```
NaPPdO4
1.0
-3.0609 -5.6798 2.2313
1.5481 0.0719 6.6488
-2.8177 5.0474 -3.6321
P O Pd Na
2 8 2 2
Direct
0.7500 0.2500 0.5000
0.2500 0.7500 0.5000
0.5161 0.2989 0.5000
0.0160 0.5161 0.2172
0.7989 0.0160 0.5000
0.2989 0.7989 0.7828
0.9839 0.4839 0.7828
0.2011 0.9839 0.5000
0.7011 0.2011 0.2172
0.4839 0.7011 0.5000
0.5000 0.0000 0.5000
0.0000 0.5000 0.5000
0.7500 0.7500 0.0000
0.2500 0.2500 0.0000
```

Computed properties:
Calculated total energy (eV per atom): -6.16

14.
Here is crystalline KNdSeO at its relaxed geometry from OQMD via LeMat-Bulk. Energies are from PBE-GGA.

Geometry as POSCAR:
```
KNdSeO
1.0
7.8120 0.0000 -0.3170
0.0000 7.7383 0.0000
-1.2448 0.0000 6.6572
Nd Se K O
4 4 4 4
Direct
0.5330 0.6263 0.2266
0.5330 0.8737 0.7266
0.4670 0.1263 0.2734
0.4670 0.3737 0.7734
0.7673 0.5843 0.6560
0.2327 0.4157 0.3440
0.2327 0.0843 0.8440
0.7673 0.9157 0.1560
0.0918 0.7341 0.0000
0.9082 0.2341 0.5000
0.0918 0.7659 0.5000
0.9082 0.2659 0.0000
0.4036 0.8496 0.3834
0.5964 0.3496 0.1166
0.4036 0.6504 0.8834
0.5964 0.1504 0.6166
```

Computed properties:
Excess energy over the best structure of this formula in the dataset (eV/atom): 0.0140

15.
Here is crystalline Na2TaSbS4 at its relaxed geometry from OQMD via LeMat-Bulk. Energies are from PBE-GGA.

Geometry as POSCAR:
```
Na2TaSbS4
1.0
3.5634 0.0000 0.0000
-1.7817 3.0860 0.0000
0.0000 0.0000 14.4958
S Ta Na Sb
4 1 2 1
Direct
0.6667 0.3333 0.8958
0.6667 0.3333 0.1042
0.3333 0.6667 0.3742
0.3333 0.6667 0.6258
0.0000 0.0000 0.0000
0.0000 0.0000 0.2442
0.0000 0.0000 0.7558
0.0000 0.0000 0.5000
```

Computed properties:
Calculated total energy (eV per atom): -5.17

16.
Here is crystalline NdCdPb2 at its relaxed geometry from OQMD via LeMat-Bulk. Energies are from PBE-GGA.

Geometry as POSCAR:
```
NdCdPb2
1.0
-3.3087 3.5008 1.0238
-3.3176 -2.3141 -2.8089
-1.4243 -2.4215 3.6771
Pb Cd Nd
2 1 1
Direct
0.0000 0.5000 0.0000
0.5000 0.0000 0.0000
0.0000 0.0000 0.5000
0.5000 0.5000 0.5000
```

Computed properties:
Calculated total energy (eV per atom): -3.66

17.
Here is crystalline Dy2As at its relaxed geometry from OQMD via LeMat-Bulk. Energies are from PBE-GGA.

Geometry as POSCAR:
```
Dy2As
1.0
0.0000 4.2816 4.2816
4.2816 0.0000 4.2816
4.2816 4.2816 0.0000
Dy As
4 2
Direct
0.6250 0.6250 0.1250
0.6250 0.1250 0.6250
0.6250 0.6250 0.6250
0.1250 0.6250 0.6250
0.0000 0.0000 0.0000
0.2500 0.2500 0.2500
```

Computed properties:
Calculated total energy (eV per atom): -4.49

18.
Here is crystalline RbPOsO at its relaxed geometry from OQMD via LeMat-Bulk. Energies are from PBE-GGA.

Geometry as POSCAR:
```
RbPOsO
1.0
3.7030 0.0000 0.0000
0.0000 6.8847 0.0000
0.0000 0.0000 7.0255
P Rb Os O
2 2 2 2
Direct
0.5000 0.4397 0.2677
0.5000 0.5603 0.7677
0.0000 0.8298 0.0550
0.0000 0.1702 0.5550
0.5000 0.6737 0.4770
0.5000 0.3263 0.9770
0.0000 0.2239 0.9543
0.0000 0.7761 0.4543
```

Computed properties:
Excess energy over the best structure of this formula in the dataset (eV/atom): 0.0599

19.
Here is crystalline HfCuAgPb at its relaxed geometry from OQMD via LeMat-Bulk. Energies are from PBE-GGA.

Geometry as POSCAR:
```
HfCuAgPb
1.0
-1.8159 -3.0503 3.2292
-2.9285 1.6130 3.4426
-4.6679 -1.1088 -0.1065
Cu Ag Hf Pb
1 1 1 1
Direct
0.7500 0.7500 0.7500
0.5000 0.5000 0.5000
0.2500 0.2500 0.2500
0.0000 0.0000 0.0000
```

Computed properties:
Excess energy over the best structure of this formula in the dataset (eV/atom): 0.0072

20.
Here is crystalline PrHfAl2Ni4 at its relaxed geometry from OQMD via LeMat-Bulk. Energies are from PBE-GGA.

Geometry as POSCAR:
```
PrHfAl2Ni4
1.0
-4.0390 0.7002 0.5840
1.6105 -3.7062 0.9031
1.6359 2.6836 8.0963
Ni Al Hf Pr
4 2 1 1
Direct
0.6667 0.3333 0.7030
0.3333 0.6667 0.1538
0.3333 0.6667 0.8462
0.6667 0.3333 0.2970
0.0000 0.0000 0.2245
0.0000 0.0000 0.7755
0.6667 0.3333 0.0000
0.3333 0.6667 0.5000
```

Computed properties:
Calculated total energy (eV per atom): -6.11

Listing calculated volume for the structures above in their given order: 29.74, 41.16, 24.71, 28.82, 25.83, 18.12, 23.06, 52.41, 16.78, 18.73, 8.80, 15.01, 13.99, 24.96, 19.93, 28.06, 26.16, 22.39, 19.54, 16.12 A^3/atom.